First-principles (GGA-PBE) data for UTiZnO6 after structural relaxation, as listed in the Alexandria database.

```
data_UTiZnO6
_cell_length_a 5.3723
_cell_length_b 5.3723
_cell_length_c 8.9158
_cell_angle_alpha 90.00
_cell_angle_beta 90.00
_cell_angle_gamma 120.00
_symmetry_space_group_name_H-M 'P -3 1 c'
_symmetry_Int_Tables_number 163
_symmetry_space_group_name_Hall '-P 3 2c'
loop_
_atom_site_label
_atom_site_fract_x
_atom_site_fract_y
_atom_site_fract_z
_atom_site_occupancy
U1 0.3333 0.6667 0.2500 1
Ti1 0.3333 0.6667 0.7500 1
Zn1 0.0000 0.0000 0.0000 1
O1 0.0150 0.3560 0.6338 1
```

Summary:
As for the energy relative to the elements, uncorrected: -2.592 eV/atom.